[1]
DFT (PBE) results for a relaxed structure of EuGa4.

DOS at the Fermi energy: 0.135 states/eV per atom
crystal system: monoclinic
symmetry: C2/m (12)

a = 6.2277 Å, b = 6.2132 Å, c = 6.2115 Å
α = 90.00°, β = 119.99°, γ = 90.00°
Atoms (fractional coordinates):
Eu 0.0000 0.0000 0.0000
Eu 0.5000 0.5000 0.0000
Ga 0.0000 0.2492 0.5000
Ga 0.0000 0.7508 0.5000
Ga 0.1160 0.5000 0.2331
Ga 0.3840 0.0000 0.7669
Ga 0.5000 0.2508 0.5000
Ga 0.5000 0.7492 0.5000
Ga 0.6160 0.0000 0.2331
Ga 0.8840 0.5000 0.7669

=====

[2]
DFT (PBE) results for a relaxed structure of EuGa6.

DOS at the Fermi energy: 1.603 states/eV per atom
crystal system: cubic
symmetry: Im-3m (229)

a = 7.0637 Å, b = 7.0637 Å, c = 7.0637 Å
α = 90.00°, β = 90.00°, γ = 90.00°
Atoms (fractional coordinates):
Eu 0.0000 0.0000 0.0000
Eu 0.5000 0.5000 0.5000
Ga 0.0000 0.2500 0.5000
Ga 0.0000 0.5000 0.2500
Ga 0.0000 0.5000 0.7500
Ga 0.0000 0.7500 0.5000
Ga 0.2500 0.0000 0.5000
Ga 0.2500 0.5000 0.0000
Ga 0.5000 0.0000 0.2500
Ga 0.5000 0.0000 0.7500
Ga 0.5000 0.2500 0.0000
Ga 0.5000 0.7500 0.0000
Ga 0.7500 0.0000 0.5000
Ga 0.7500 0.5000 0.0000

=====

[3]
DFT (PBE) results for a relaxed structure of EuGa2.

DOS at the Fermi energy: 0.572 states/eV per atom
crystal system: tetragonal
symmetry: I4/mmm (139)

a = 3.4633 Å, b = 3.4633 Å, c = 11.4910 Å
α = 90.00°, β = 90.00°, γ = 90.00°
Atoms (fractional coordinates):
Eu 0.0000 0.0000 0.0000
Eu 0.5000 0.5000 0.5000
Ga 0.0000 0.0000 0.3112
Ga 0.0000 0.0000 0.6888
Ga 0.5000 0.5000 0.1888
Ga 0.5000 0.5000 0.8112

=====

[4]
DFT (PBE) results for a relaxed structure of EuGa3.

DOS at the Fermi energy: 0.878 states/eV per atom
crystal system: cubic
symmetry: Fm-3m (225)

a = 7.0330 Å, b = 7.0330 Å, c = 7.0330 Å
α = 90.00°, β = 90.00°, γ = 90.00°
Atoms (fractional coordinates):
Eu 0.0000 0.0000 0.0000
Eu 0.0000 0.5000 0.5000
Eu 0.5000 0.0000 0.5000
Eu 0.5000 0.5000 0.0000
Ga 0.0000 0.0000 0.5000
Ga 0.0000 0.5000 0.0000
Ga 0.2500 0.2500 0.2500
Ga 0.2500 0.2500 0.7500
Ga 0.2500 0.7500 0.2500
Ga 0.2500 0.7500 0.7500
Ga 0.5000 0.0000 0.0000
Ga 0.5000 0.5000 0.5000
Ga 0.7500 0.2500 0.2500
Ga 0.7500 0.2500 0.7500
Ga 0.7500 0.7500 0.2500
Ga 0.7500 0.7500 0.7500

=====

Number 1: energy -4.92 eV/atom, magnetic moment 14.0 μB per cell, formation enthalpy at 0 K -10.17 kcal/mol of atoms. Number 2: energy -4.12 eV/atom, magnetic moment 13.9 μB per cell, formation enthalpy at 0 K -1.29 kcal/mol of atoms. Number 3: energy -5.79 eV/atom, magnetic moment 14.1 μB per cell, formation enthalpy at 0 K -7.98 kcal/mol of atoms. Number 4: energy -5.10 eV/atom, magnetic moment 26.9 μB per cell, formation enthalpy at 0 K -6.06 kcal/mol of atoms.